This record from Alexandria via LeMat-Bulk describes a relaxed structure of NbInRh. The functional is PBE.

The value obtained for the total DFT energy (no corrections) is -165.92 eV/cell. The calculation puts the energy of formation from the pure elements at -0.6 eV per formula unit. The space group is No. 69.

a b c (Å): 9.5165 5.4677 8.5154
angles (deg): 90.00 90.00 90.00
Last column: nearest neighbours and their distance in Å.
Atoms (fractional coordinates):
Nb: 0.8498 0.0000 0.0000  4 Rh 2.70, 1 Nb 2.86
Nb: 0.1502 0.0000 0.0000  4 Rh 2.70, 1 Nb 2.86
Nb: 0.8498 0.5000 0.5000  4 Rh 2.70, 1 Nb 2.86
Nb: 0.1502 0.5000 0.5000  4 Rh 2.70, 1 Nb 2.86
Nb: 0.3498 0.0000 0.5000  4 Rh 2.70, 1 Nb 2.86
Nb: 0.6502 0.0000 0.5000  4 Rh 2.70, 1 Nb 2.86
Nb: 0.3498 0.5000 0.0000  4 Rh 2.70, 1 Nb 2.86
Nb: 0.6502 0.5000 0.0000  4 Rh 2.70, 1 Nb 2.86
Rh: 0.2500 0.2500 0.2500  4 Nb 2.70, 2 Rh 2.73, 4 In 2.83
Rh: 0.2500 0.7500 0.7500  4 Nb 2.70, 2 Rh 2.73, 4 In 2.83
Rh: 0.7500 0.2500 0.7500  4 Nb 2.70, 2 Rh 2.73, 4 In 2.83
Rh: 0.7500 0.7500 0.2500  4 Nb 2.70, 2 Rh 2.73, 4 In 2.83
Rh: 0.7500 0.7500 0.7500  4 Nb 2.70, 2 Rh 2.73, 4 In 2.83
Rh: 0.7500 0.2500 0.2500  4 Nb 2.70, 2 Rh 2.73, 4 In 2.83
Rh: 0.2500 0.7500 0.2500  4 Nb 2.70, 2 Rh 2.73, 4 In 2.83
Rh: 0.2500 0.2500 0.7500  4 Nb 2.70, 2 Rh 2.73, 4 In 2.83
In: 0.0000 0.0000 0.6663  3 In 2.83-3.08, 4 Rh 2.83
In: 0.0000 0.0000 0.3337  3 In 2.83-3.08, 4 Rh 2.83
In: 0.0000 0.5000 0.1663  3 In 2.83-3.08, 4 Rh 2.83
In: 0.0000 0.5000 0.8337  3 In 2.83-3.08, 4 Rh 2.83
In: 0.5000 0.0000 0.1663  3 In 2.83-3.08, 4 Rh 2.83
In: 0.5000 0.0000 0.8337  3 In 2.83-3.08, 4 Rh 2.83
In: 0.5000 0.5000 0.6663  3 In 2.83-3.08, 4 Rh 2.83
In: 0.5000 0.5000 0.3337  3 In 2.83-3.08, 4 Rh 2.83

---

This record from Alexandria via LeMat-Bulk describes a relaxed structure of NbInRh. The functional is PBE.

The value obtained for the total DFT energy (no corrections) is -83.96 eV/cell. The calculation puts the energy of formation from the pure elements at -0.8 eV per formula unit. The space group is No. 71.

a b c (Å): 5.4475 8.5214 4.5362
angles (deg): 90.00 90.00 90.00
Last column: nearest neighbours and their distance in Å.
Atoms (fractional coordinates):
Nb: 0.7607 0.5000 0.0000  2 Nb 2.61-2.84
Nb: 0.2393 0.5000 0.0000  2 Nb 2.61-2.84
Nb: 0.2607 0.0000 0.5000  2 Nb 2.61-2.84
Nb: 0.7393 0.0000 0.5000  2 Nb 2.61-2.84
In: 0.0000 0.8265 0.0000  4 Rh 2.68-2.73, 1 In 2.96
In: 0.0000 0.1735 0.0000  4 Rh 2.68-2.73, 1 In 2.96
In: 0.5000 0.3265 0.5000  4 Rh 2.68-2.73, 1 In 2.96
In: 0.5000 0.6735 0.5000  4 Rh 2.68-2.73, 1 In 2.96
Rh: 0.0000 0.3417 0.5000  4 In 2.68-2.73, 1 Rh 2.70, 4 Nb 2.94
Rh: 0.0000 0.6583 0.5000  4 In 2.68-2.73, 1 Rh 2.70, 4 Nb 2.94
Rh: 0.5000 0.8417 0.0000  4 In 2.68-2.73, 1 Rh 2.70, 4 Nb 2.94
Rh: 0.5000 0.1583 0.0000  4 In 2.68-2.73, 1 Rh 2.70, 4 Nb 2.94

---

This record from Alexandria via LeMat-Bulk describes a relaxed structure of NbIn4Rh5. The functional is PBE.

The value obtained for the total DFT energy (no corrections) is -61.85 eV/cell. The calculation puts the energy of formation from the pure elements at -4.1 eV per formula unit. The space group is No. 123.

a b c (Å): 3.0732 3.0732 17.7623
angles (deg): 90.00 90.00 90.00
Last column: nearest neighbours and their distance in Å.
Atoms (fractional coordinates):
Nb: 0.0000 0.0000 0.0000  8 Rh 2.80, 4 Nb 3.07
In: 0.0000 0.0000 0.2021  8 Rh 2.80-2.83, 4 In 3.07
In: 0.0000 0.0000 0.4009  8 Rh 2.80, 4 In 3.07
In: 0.0000 0.0000 0.5991  8 Rh 2.80, 4 In 3.07
In: 0.0000 0.0000 0.7979  8 Rh 2.80-2.83, 4 In 3.07
Rh: 0.5000 0.5000 0.0996  4 Nb 2.80, 4 In 2.83, 4 Rh 3.07
Rh: 0.5000 0.5000 0.3014  8 In 2.80, 4 Rh 3.07
Rh: 0.5000 0.5000 0.5000  8 In 2.80, 4 Rh 3.07
Rh: 0.5000 0.5000 0.6986  8 In 2.80, 4 Rh 3.07
Rh: 0.5000 0.5000 0.9004  4 Nb 2.80, 4 In 2.83, 4 Rh 3.07

---

This record from Alexandria via LeMat-Bulk describes a relaxed structure of NbInRh2. The functional is PBE.

The value obtained for the total DFT energy (no corrections) is -28.28 eV/cell. The calculation puts the energy of formation from the pure elements at -0.8 eV per formula unit. The space group is No. 160.

a b c (Å): 3.2233 3.2233 8.1849
angles (deg): 78.64 78.64 60.00
Last column: nearest neighbours and their distance in Å.
Atoms (fractional coordinates):
Nb: 0.6667 0.6667 0.0000  6 Rh 2.61
In: 0.5002 0.5002 0.4994  6 Rh 2.84-2.85
Rh: 0.0766 0.0766 0.7701  3 Nb 2.61, 3 In 2.85
Rh: 0.2565 0.2565 0.2305  3 Nb 2.61, 3 In 2.84